Compound: Hf2ZrCd
Source: Alexandria via LeMat-Bulk
Functional: PBE
Structure: relaxed

a b c (Å): 5.517 5.517 5.517
angles (deg): 133.34 133.34 68.12
Element x y z (fractional)
Hf (0.000, 0.000, 0.000)
Hf (0.750, 0.250, 0.500)
Zr (0.250, 0.750, 0.500)
Cd (0.500, 0.500, 0.000)

As for the space-group type: No. 119. As for the total moment: 0.0 μB per formula unit. The value obtained for the final energy is -0.271 Ha/atom. As for the crystal system: tetragonal.